Computed, not measured: a relaxed structure of HfBTe at the GGA-PBE level of DFT.

Calculated values
Energy relative to the elements, uncorrected   -0.34 eV/atom
Spin magnetization   0.00 μB per cell

a = 6.7353 Å, b = 3.7225 Å, c = 10.5746 Å
α = 90.00°, β = 106.04°, γ = 90.00°
Fractional positions:
1 Hf 0.1837 0.0000 0.3471
2 Hf 0.3163 0.5000 0.6529
3 Hf 0.6837 0.5000 0.3471
4 Hf 0.8163 0.0000 0.6529
5 B 0.1047 0.0000 0.5544
6 B 0.3953 0.5000 0.4456
7 B 0.6047 0.5000 0.5544
8 B 0.8953 0.0000 0.4456
9 Te 0.0683 0.5000 0.8428
10 Te 0.4317 0.0000 0.1572
11 Te 0.5683 0.0000 0.8428
12 Te 0.9317 0.5000 0.1572

***

Computed, not measured: a relaxed structure of HfBTe2 at the GGA-PBE level of DFT.

Calculated values
Energy relative to the elements, uncorrected   0.69 eV/atom
Spin magnetization   0.00 μB per cell

a = 3.4488 Å, b = 3.4488 Å, c = 25.8664 Å
α = 90.00°, β = 90.00°, γ = 120.00°
Fractional positions:
1 Hf 0.0000 0.0000 0.0000
2 Hf 0.3333 0.6667 0.6667
3 Hf 0.6667 0.3333 0.3333
4 B 0.0000 0.0000 0.5000
5 B 0.3333 0.6667 0.1667
6 B 0.6667 0.3333 0.8333
7 Te 0.0000 0.0000 0.1098
8 Te 0.0000 0.0000 0.8902
9 Te 0.3333 0.6667 0.5569
10 Te 0.3333 0.6667 0.7765
11 Te 0.6667 0.3333 0.2235
12 Te 0.6667 0.3333 0.4431

***

Computed, not measured: a relaxed structure of Hf5B2Te2 at the GGA-PBE level of DFT.

Calculated values
Energy relative to the elements, uncorrected   -0.50 eV/atom
Spin magnetization   0.00 μB per cell

a = 7.9773 Å, b = 7.9773 Å, c = 6.7819 Å
α = 90.00°, β = 90.00°, γ = 50.50°
Fractional positions:
1 Hf 0.0000 0.0000 0.0000
2 Hf 0.0621 0.7195 0.6739
3 Hf 0.2195 0.5621 0.1739
4 Hf 0.2805 0.9379 0.6739
5 Hf 0.4379 0.7805 0.1739
6 Hf 0.5000 0.5000 0.5000
7 Hf 0.5621 0.2195 0.8261
8 Hf 0.7195 0.0621 0.3261
9 Hf 0.7805 0.4379 0.8261
10 Hf 0.9379 0.2805 0.3261
11 B 0.1057 0.8943 0.3950
12 B 0.3943 0.6057 0.8950
13 B 0.6057 0.3943 0.1050
14 B 0.8943 0.1057 0.6050
15 Te 0.2111 0.2111 0.0000
16 Te 0.2889 0.2889 0.5000
17 Te 0.7111 0.7111 0.5000
18 Te 0.7889 0.7889 0.0000

***

Computed, not measured: a relaxed structure of Hf3BTe at the GGA-PBE level of DFT.

Calculated values
Offset from the most stable computed form   1.38 eV/f.u.
Energy relative to the elements, uncorrected   -0.16 eV/atom
Spin magnetization   0.00 μB per cell

a = 4.6188 Å, b = 4.6188 Å, c = 4.6188 Å
α = 90.00°, β = 90.00°, γ = 90.00°
Fractional positions:
1 Hf 0.0000 0.0000 0.5000
2 Hf 0.0000 0.5000 0.0000
3 Hf 0.5000 0.0000 0.0000
4 B 0.0000 0.0000 0.0000
5 Te 0.5000 0.5000 0.5000

***

Computed, not measured: a relaxed structure of HfB2Te at the GGA-PBE level of DFT.

Calculated values
Energy relative to the elements, uncorrected   0.69 eV/atom
Spin magnetization   0.00 μB per cell

a = 5.8999 Å, b = 5.8999 Å, c = 7.7899 Å
α = 90.00°, β = 90.00°, γ = 90.00°
Fractional positions:
1 Hf 0.0000 0.0000 0.0000
2 Hf 0.0000 0.5000 0.2500
3 Hf 0.5000 0.0000 0.7500
4 Hf 0.5000 0.5000 0.5000
5 B 0.2276 0.2500 0.6250
6 B 0.2500 0.7276 0.8750
7 B 0.2500 0.7724 0.3750
8 B 0.2724 0.2500 0.1250
9 B 0.7276 0.7500 0.1250
10 B 0.7500 0.2276 0.3750
11 B 0.7500 0.2724 0.8750
12 B 0.7724 0.7500 0.6250
13 Te 0.0000 0.0000 0.5000
14 Te 0.0000 0.5000 0.7500
15 Te 0.5000 0.0000 0.2500
16 Te 0.5000 0.5000 0.0000

***

Computed, not measured: a relaxed structure of HfBTe3 at the GGA-PBE level of DFT.

Calculated values
Offset from the most stable computed form   1.24 eV/f.u.
Energy relative to the elements, uncorrected   0.81 eV/atom
Spin magnetization   0.00 μB per cell

a = 5.5559 Å, b = 5.5559 Å, c = 5.5559 Å
α = 90.00°, β = 90.00°, γ = 90.00°
Fractional positions:
1 Hf 0.0000 0.0000 0.0000
2 B 0.5000 0.5000 0.5000
3 Te 0.0000 0.0000 0.5000
4 Te 0.0000 0.5000 0.0000
5 Te 0.5000 0.0000 0.0000

***

Computed, not measured: a relaxed structure of Hf4B2Te at the GGA-PBE level of DFT.

Calculated values
Energy relative to the elements, uncorrected   -0.30 eV/atom
Spin magnetization   0.00 μB per cell

a = 7.1931 Å, b = 7.1931 Å, c = 7.1931 Å
α = 119.93°, β = 109.07°, γ = 100.04°
Fractional positions:
1 Hf 0.2521 0.2982 0.5461
2 Hf 0.2521 0.7061 0.9539
3 Hf 0.3169 0.2457 0.0712
4 Hf 0.3255 0.7543 0.5712
5 Hf 0.6745 0.2457 0.4288
6 Hf 0.6831 0.7543 0.9288
7 Hf 0.7479 0.2939 0.0461
8 Hf 0.7479 0.7018 0.4539
9 B 0.0000 0.5000 0.5000
10 B 0.5000 0.0000 0.0000
11 B 0.5000 0.5000 0.0000
12 B 0.5000 0.5000 0.5000
13 Te 0.0478 0.7978 0.2500
14 Te 0.9522 0.2022 0.7500

***

Computed, not measured: a relaxed structure of Hf3BTe at the GGA-PBE level of DFT.

Calculated values
Offset from the most stable computed form   0.00 eV/f.u.
Energy relative to the elements, uncorrected   -0.43 eV/atom
Spin magnetization   0.00 μB per cell

a = 7.1678 Å, b = 3.5232 Å, c = 7.6069 Å
α = 90.00°, β = 100.31°, γ = 90.00°
Fractional positions:
1 Hf 0.1101 0.2500 0.1527
2 Hf 0.1708 0.7500 0.5285
3 Hf 0.3287 0.7500 0.9071
4 Hf 0.6713 0.2500 0.0929
5 Hf 0.8292 0.2500 0.4715
6 Hf 0.8899 0.7500 0.8473
7 B 0.0916 0.2500 0.7654
8 B 0.9084 0.7500 0.2346
9 Te 0.4665 0.7500 0.2945
10 Te 0.5335 0.2500 0.7055

***

Computed, not measured: a relaxed structure of HfBTe2 at the GGA-PBE level of DFT.

Calculated values
Energy relative to the elements, uncorrected   0.50 eV/atom
Spin magnetization   0.00 μB per cell

a = 6.2107 Å, b = 6.2107 Å, c = 10.3498 Å
α = 90.00°, β = 90.00°, γ = 90.00°
Fractional positions:
1 Hf 0.0000 0.0000 0.0000
2 Hf 0.0000 0.5000 0.2500
3 Hf 0.5000 0.0000 0.7500
4 Hf 0.5000 0.5000 0.5000
5 B 0.0000 0.0000 0.5000
6 B 0.0000 0.5000 0.7500
7 B 0.5000 0.0000 0.2500
8 B 0.5000 0.5000 0.0000
9 Te 0.1832 0.2500 0.6250
10 Te 0.2500 0.6832 0.8750
11 Te 0.2500 0.8168 0.3750
12 Te 0.3168 0.2500 0.1250
13 Te 0.6832 0.7500 0.1250
14 Te 0.7500 0.1832 0.3750
15 Te 0.7500 0.3168 0.8750
16 Te 0.8168 0.7500 0.6250

***

Computed, not measured: a relaxed structure of HfBTe3 at the GGA-PBE level of DFT.

Calculated values
Offset from the most stable computed form   0.00 eV/f.u.
Energy relative to the elements, uncorrected   0.56 eV/atom
Spin magnetization   0.00 μB per cell

a = 4.8329 Å, b = 4.8329 Å, c = 4.8329 Å
α = 90.00°, β = 90.00°, γ = 90.00°
Fractional positions:
1 Hf 0.0000 0.0000 0.0000
2 B 0.5000 0.5000 0.5000
3 Te 0.0000 0.5000 0.5000
4 Te 0.5000 0.0000 0.5000
5 Te 0.5000 0.5000 0.0000

***

Computed, not measured: a relaxed structure of HfVB2Te at the GGA-PBE level of DFT.

Calculated values
Energy relative to the elements, uncorrected   2.20 eV/atom
Spin magnetization   0.09 μB per cell

a = 4.3500 Å, b = 4.3500 Å, c = 5.3868 Å
α = 90.00°, β = 90.00°, γ = 90.00°
Fractional positions:
1 Hf 0.0000 0.0000 0.0000
2 V 0.5000 0.5000 0.0000
3 B 0.0000 0.5000 0.5000
4 B 0.5000 0.0000 0.5000
5 Te 0.0000 0.0000 0.5000

***

Computed, not measured: a relaxed structure of HfThB4 at the GGA-PBE level of DFT.

Calculated values
DFT formation energy   -58 kJ per mole of atoms
Spin magnetization   0.00 μB per cell

a = 6.2840 Å, b = 12.1732 Å, c = 3.8371 Å
α = 90.00°, β = 90.00°, γ = 90.00°
Fractional positions:
1 Hf 0.1354 0.0881 0.0000
2 Hf 0.3646 0.5881 0.0000
3 Hf 0.6354 0.4119 0.0000
4 Hf 0.8646 0.9119 0.0000
5 Th 0.1266 0.3495 0.0000
6 Th 0.3734 0.8495 0.0000
7 Th 0.6266 0.1505 0.0000
8 Th 0.8734 0.6505 0.0000
9 B 0.0257 0.8076 0.5000
10 B 0.1128 0.9537 0.5000
11 B 0.1329 0.5310 0.5000
12 B 0.2090 0.6881 0.5000
13 B 0.2910 0.1881 0.5000
14 B 0.3671 0.0310 0.5000
15 B 0.3872 0.4537 0.5000
16 B 0.4743 0.3076 0.5000
17 B 0.5257 0.6924 0.5000
18 B 0.6128 0.5463 0.5000
19 B 0.6329 0.9690 0.5000
20 B 0.7090 0.8119 0.5000
21 B 0.7910 0.3119 0.5000
22 B 0.8671 0.4690 0.5000
23 B 0.8872 0.0463 0.5000
24 B 0.9743 0.1924 0.5000